LaPmErHg | PBE | relaxed

Properties
symmetry: F-43m, No. 216
E_form: -0.04 eV/atom
crystal system: cubic
DOS at the Fermi energy: 1.633 states/eV per atom
offset from the most stable computed form: 0.185 eV per atom

abc: 5.5307 5.5307 5.5307
angles: 60.00 60.00 60.00
Last column: nearest neighbours and their distance in Å.
Element x y z (fractional)
Pm 0.5000 0.5000 0.5000  4 La 3.39, 4 Er 3.39
La 0.7500 0.7500 0.7500  4 Hg 3.39, 4 Pm 3.39
Hg 0.0000 0.0000 0.0000  4 La 3.39, 4 Er 3.39
Er 0.2500 0.2500 0.2500  4 Hg 3.39, 4 Pm 3.39